# PBE+U CrFePbF6, relaxed
data_CrFePbF6
_chemical_formula_sum 'Cr2 Fe2 Pb2 F12'
_symmetry_space_group_name_H-M 'P 1'
_symmetry_Int_Tables_number 1
_symmetry_space_group_name_Hall 'P 1'
_cell_length_a 5.5683
_cell_length_b 5.5683
_cell_length_c 10.5346
_cell_angle_alpha 90.00
_cell_angle_beta 90.00
_cell_angle_gamma 120.00
loop_
_atom_site_label
_atom_site_fract_x
_atom_site_fract_y
_atom_site_fract_z
Cr1 0.3333 0.6667 0.2500
Cr2 0.6667 0.3333 0.7500
Fe1 0.3333 0.6667 0.7500
Fe2 0.6667 0.3333 0.2500
Pb1 0.0000 0.0000 0.0000
Pb2 0.0000 0.0000 0.5000
F1 0.0050 0.3624 0.1428
F2 0.0050 0.6425 0.3572
F3 0.3575 0.3624 0.3572
F4 0.3575 0.9950 0.1428
F5 0.3624 0.0050 0.6428
F6 0.3624 0.3575 0.8572
F7 0.6376 0.6425 0.1428
F8 0.6376 0.9950 0.3572
F9 0.6425 0.0050 0.8572
F10 0.6425 0.6376 0.6428
F11 0.9950 0.3575 0.6428
F12 0.9950 0.6376 0.8572
# **Volume**: 282.9 Å³ per cell
# **Raw total energy**: -48.448 eV per formula unit
# **Space group**: P-31c (163)
# **M_tot**: 15.404 μB/cell